# Sb2PCl

Sb2PCl after structural relaxation (PBE-GGA, Alexandria via LeMat-Bulk).

Cell and atoms, written as CIF:
```
data_Sb2PCl
_symmetry_space_group_name_H-M 'I m m m'
_symmetry_Int_Tables_number 71
_symmetry_space_group_name_Hall '-I 2 2'
_cell_length_a 3.6813
_cell_length_b 6.5831
_cell_length_c 8.4830
_cell_angle_alpha 90.00
_cell_angle_beta 90.00
_cell_angle_gamma 90.00
loop_
_atom_site_label
_atom_site_fract_x
_atom_site_fract_y
_atom_site_fract_z
Sb1 0.0000 0.0000 0.2234
P1 0.0000 0.5000 0.5000
Cl1 0.0000 0.5000 0.0000
```

## Properties
Fermi-level density of states: 2.2 states/eV/f.u.
crystal system: orthorhombic
total DFT energy (no corrections): -3.70 eV per atom